Compound: Li3Zn
Source: Alexandria via LeMat-Bulk
Functional: SCAN
Structure: PBEsol geometry

Cell and atoms, written as POSCAR:
```
Li3Zn
1.0
-2.7283 -0.4073 0.1199
-0.0409 -0.9018 -3.9922
0.8711 -5.4744 1.2277
Li Zn
3 1
Direct
0.5000 0.5000 0.7710
0.5000 0.5000 0.2290
0.0000 0.0000 0.5000
0.0000 0.0000 0.0000
```

Output
Theoretical density: 2.2 g/cm³
E_tot: -5.27 eV per atom
Energy relative to the elements: -96 meV/atom
SG: Pmmm
Magnetic moment: 0.00 Bohr magnetons per cell